Entry 1:
Computed, not measured: crystalline Ac2TlInO6 at its relaxed geometry at the PBE level of DFT.

Unit cell a=5.951 b=6.208 c=8.549 alpha=90.00 beta=89.91 gamma=90.00
Fractional positions:
Ac 0.016 0.943 0.251
Ac 0.516 0.557 0.751
Ac 0.984 0.057 0.749
Ac 0.484 0.443 0.249
Tl 0.500 0.000 0.000
Tl 0.000 0.500 0.500
In 0.500 0.000 0.500
In 0.000 0.500 0.000
O 0.298 0.692 0.058
O 0.798 0.808 0.558
O 0.702 0.308 0.942
O 0.202 0.192 0.442
O 0.309 0.704 0.438
O 0.809 0.796 0.938
O 0.691 0.296 0.562
O 0.191 0.204 0.062
O 0.887 0.547 0.243
O 0.387 0.953 0.743
O 0.113 0.453 0.757
O 0.613 0.047 0.257



Entry 2:
Computed, not measured: crystalline Ac2TmInO6 at its relaxed geometry at the PBE level of DFT.

Unit cell a=5.947 b=6.097 c=8.509 alpha=90.00 beta=90.24 gamma=90.00
Fractional positions:
Ac 0.013 0.953 0.249
Ac 0.513 0.547 0.749
Ac 0.987 0.047 0.751
Ac 0.487 0.453 0.251
Tm 0.500 0.000 0.000
Tm 0.000 0.500 0.500
In 0.500 0.000 0.500
In 0.000 0.500 0.000
O 0.296 0.703 0.057
O 0.796 0.797 0.557
O 0.704 0.297 0.943
O 0.204 0.203 0.443
O 0.299 0.704 0.445
O 0.799 0.796 0.945
O 0.701 0.296 0.555
O 0.201 0.204 0.055
O 0.896 0.540 0.249
O 0.396 0.960 0.749
O 0.104 0.460 0.751
O 0.604 0.040 0.251



Entry 3:
Computed, not measured: crystalline AcUInO6 at its relaxed geometry at the PBE level of DFT.

Unit cell a=5.647 b=5.647 c=10.803 alpha=90.00 beta=90.00 gamma=120.00
Fractional positions:
Ac 0.000 0.000 0.000
Ac 0.000 0.000 0.500
U 0.667 0.333 0.250
U 0.333 0.667 0.750
In 0.333 0.667 0.250
In 0.667 0.333 0.750
O 0.648 0.633 0.142
O 0.986 0.352 0.142
O 0.352 0.986 0.642
O 0.014 0.648 0.858
O 0.367 0.352 0.358
O 0.986 0.633 0.358
O 0.633 0.986 0.858
O 0.648 0.014 0.358
O 0.014 0.367 0.642
O 0.367 0.014 0.142
O 0.633 0.648 0.642
O 0.352 0.367 0.858



Magnetization for the records above, in order: 0.00 0.00 0.00 Bohr magnetons per cell
VASP energy for the records above, in order: -131.087 -150.418 -146.039 eV/cell